# 1
The following is a GGA-PBEsol calculation of Sr2Li after structural relaxation, from Alexandria.

Values from the calculation:
Formation energy   0.0256 eV per atom
E_tot   -1.857 eV/atom
Polymorph energy (0 for the lowest one)   0.004 eV per atom

Cell lengths 15.899, 15.899, 15.899 Å; angles 90.00, 90.00, 90.00 degrees
Space group Fd-3m (No. 227, origin choice 2)
Asymmetric unit:
Sr1 0.000 0.000 0.000 x16
Sr2 0.063 0.375 0.875 x48
Li1 0.042 0.042 0.208 x32

***

# 2
The following is a GGA-PBEsol calculation of HgSbF2 after structural relaxation, from Alexandria.

Values from the calculation:
E_tot   -3.415 eV/atom
Formation energy from raw total energies   -1.17 eV/atom

Cell lengths 4.229, 4.229, 15.818 Å; angles 90.00, 90.00, 90.00 degrees
Space group I-42d (No. 122)
Asymmetric unit:
Hg1 0.000 0.000 0.000 x4
Sb1 0.000 0.000 0.500 x4
F1 0.161 0.250 0.625 x8

***

# 3
The following is a GGA-PBEsol calculation of Na5InS4 after structural relaxation, from Alexandria.

Values from the calculation:
E_tot   -3.770 eV/atom
Formation energy from raw total energies   -1.02 eV/atom

Cell lengths 6.658, 8.773, 7.807 Å; angles 90.00, 91.04, 90.00 degrees
Space group P2_1/m (No. 11)
Asymmetric unit:
Na1 0.000 0.000 0.000 x2
Na2 0.026 0.250 0.475 x2
Na3 0.328 0.250 0.839 x2
Na4 0.340 0.520 0.335 x4
In1 0.359 0.750 0.824 x2
S1 0.230 0.519 0.672 x4
S2 0.237 0.750 0.121 x2
S3 0.269 0.250 0.179 x2

***

# 4
The following is a GGA-PBEsol calculation of ZrTaAgBr2 after structural relaxation, from Alexandria.

Values from the calculation:
E_tot   -4.300 eV/atom
Formation energy from raw total energies   1.44 eV/atom

Cell lengths 4.904, 4.904, 5.430 Å; angles 90.00, 90.00, 90.00 degrees
Space group P4/mmm (No. 123)
Asymmetric unit:
Zr1 0.000 0.000 0.000 x1
Ta1 0.500 0.500 0.000 x1
Ag1 0.000 0.000 0.500 x1
Br1 0.000 0.500 0.500 x2

***

# 5
The following is a GGA-PBEsol calculation of KTl2BiSe after structural relaxation, from Alexandria.

Values from the calculation:
E_tot   -2.675 eV/atom
Formation energy from raw total energies   0.23 eV/atom

Cell lengths 5.847, 5.847, 6.459 Å; angles 90.00, 90.00, 90.00 degrees
Space group P4/mmm (No. 123)
Asymmetric unit:
K1 0.000 0.000 0.000 x1
Tl1 0.000 0.500 0.500 x2
Bi1 0.000 0.000 0.500 x1
Se1 0.500 0.500 0.000 x1

***

# 6
The following is a GGA-PBEsol calculation of LiAg after structural relaxation, from Alexandria.

Values from the calculation:
Formation energy   -0.1472 eV per atom
E_tot   -2.786 eV/atom

Cell lengths 4.978, 4.978, 4.978 Å; angles 90.00, 90.00, 90.00 degrees
Space group P2_13 (No. 198)
Asymmetric unit:
Li1 0.093 0.093 0.093 x4
Ag1 0.103 0.603 0.897 x4

***

# 7
The following is a GGA-PBEsol calculation of ScAlTl4 after structural relaxation, from Alexandria.

Values from the calculation:
Formation energy   0.3107 eV per atom
E_tot   -3.226 eV/atom

Cell lengths 8.568, 8.568, 8.568 Å; angles 90.00, 90.00, 90.00 degrees
Space group F-43m (No. 216)
Asymmetric unit:
Sc1 0.000 0.000 0.000 x4
Al1 0.250 0.250 0.750 x4
Tl1 0.125 0.125 0.375 x16

***

# 8
The following is a GGA-PBEsol calculation of HfZr2Zn2 after structural relaxation, from Alexandria.

Values from the calculation:
Formation energy   -0.1592 eV per atom
E_tot   -6.528 eV/atom

Cell lengths 7.537, 7.537, 3.309 Å; angles 90.00, 90.00, 90.00 degrees
Space group P4/mbm (No. 127)
Asymmetric unit:
Hf1 0.000 0.000 0.000 x2
Zr1 0.177 0.323 0.500 x4
Zn1 0.121 0.621 0.000 x4

***

# 9
The following is a GGA-PBEsol calculation of CsMnSi2 after structural relaxation, from Alexandria.

Values from the calculation:
E_tot   -4.434 eV/atom
Formation energy from raw total energies   1.12 eV/atom
Polymorph energy (0 for the lowest one)   0.823 eV per atom

Cell lengths 7.063, 7.063, 7.063 Å; angles 90.00, 90.00, 90.00 degrees
Space group Fm-3m (No. 225)
Asymmetric unit:
Cs1 0.000 0.000 0.000 x4
Mn1 0.000 0.000 0.500 x4
Si1 0.250 0.250 0.250 x8

***

# 10
The following is a GGA-PBEsol calculation of BaCaC2 after structural relaxation, from Alexandria.

Values from the calculation:
Formation energy   1.5618 eV per atom
E_tot   -4.331 eV/atom

Cell lengths 4.891, 4.891, 15.274 Å; angles 90.00, 90.00, 90.00 degrees
Space group I-42d (No. 122)
Asymmetric unit:
Ba1 0.000 0.000 0.000 x4
Ca1 0.000 0.000 0.500 x4
C1 0.128 0.250 0.625 x8

***

# 11
The following is a GGA-PBEsol calculation of CaFeO3 after structural relaxation, from Alexandria.

Values from the calculation:
E_tot   -7.393 eV/atom
Formation energy from raw total energies   -2.02 eV/atom

Cell lengths 3.710, 3.710, 3.710 Å; angles 90.00, 90.00, 90.00 degrees
Space group Pm-3m (No. 221)
Asymmetric unit:
Ca1 0.000 0.000 0.000 x1
Fe1 0.500 0.500 0.500 x1
O1 0.000 0.500 0.500 x3

***

# 12
The following is a GGA-PBEsol calculation of ScTaN after structural relaxation, from Alexandria.

Values from the calculation:
E_tot   -10.390 eV/atom
Formation energy from raw total energies   -1.16 eV/atom

Cell lengths 3.0547, 3.0547, 10.2202 Å; angles 90.00, 90.00, 120.00 degrees
Space group P-3m1 (No. 164)
Asymmetric unit:
Sc1 0.0000 0.0000 0.0000 x1
Sc2 0.0000 0.0000 0.5000 x1
Ta1 0.3333 0.6667 0.2456 x2
N1 0.3333 0.6667 0.6301 x2

***

# 13
The following is a GGA-PBEsol calculation of ZrSc2Ru after structural relaxation, from Alexandria.

Values from the calculation:
Formation energy   -0.1510 eV per atom
E_tot   -8.269 eV/atom
Polymorph energy (0 for the lowest one)   0.178 eV per atom

Cell lengths 6.676, 6.676, 6.676 Å; angles 90.00, 90.00, 90.00 degrees
Space group F-43m (No. 216)
Asymmetric unit:
Zr1 0.000 0.000 0.000 x4
Sc1 0.000 0.000 0.500 x4
Sc2 0.250 0.250 0.750 x4
Ru1 0.250 0.250 0.250 x4

***

# 14
The following is a GGA-PBEsol calculation of NdIn4Ni after structural relaxation, from Alexandria.

Values from the calculation:
Formation energy   -0.4171 eV per atom
E_tot   -4.293 eV/atom

Cell lengths 4.413, 16.619, 7.124 Å; angles 90.00, 90.00, 90.00 degrees
Space group Cmcm (No. 63)
Asymmetric unit:
Nd1 0.000 0.118 0.250 x4
In1 0.000 0.074 0.750 x4
In2 0.000 0.312 0.047 x8
In3 0.000 0.500 0.000 x4
Ni1 0.000 0.225 0.750 x4

***

# 15
The following is a GGA-PBEsol calculation of Fe2BTe after structural relaxation, from Alexandria.

Values from the calculation:
E_tot   -6.490 eV/atom
Formation energy from raw total energies   0.63 eV/atom

Cell lengths 5.685, 5.685, 5.685 Å; angles 90.00, 90.00, 90.00 degrees
Space group Fm-3m (No. 225)
Asymmetric unit:
Fe1 0.250 0.250 0.250 x8
B1 0.000 0.000 0.000 x4
Te1 0.000 0.000 0.500 x4

***

# 16
The following is a GGA-PBEsol calculation of BaLa2Ag after structural relaxation, from Alexandria.

Values from the calculation:
Formation energy   0.1089 eV per atom
E_tot   -3.929 eV/atom
Polymorph energy (0 for the lowest one)   0.158 eV per atom

Cell lengths 3.8503, 3.8503, 33.1892 Å; angles 90.00, 90.00, 120.00 degrees
Space group R-3m (No. 166, hexagonal axes)
Asymmetric unit:
Ba1 0.0000 0.0000 0.0000 x3
La1 0.0000 0.0000 0.2323 x6
Ag1 0.0000 0.0000 0.5000 x3

***

# 17
The following is a GGA-PBEsol calculation of Ta3V7Si6 after structural relaxation, from Alexandria.

Values from the calculation:
E_tot   -9.355 eV/atom
Formation energy from raw total energies   -0.63 eV/atom

Cell lengths 7.2182, 7.2182, 4.8442 Å; angles 90.00, 90.00, 120.00 degrees
Space group P-62m (No. 189)
Asymmetric unit:
Ta1 0.0000 0.2290 0.0000 x3
V1 0.0000 0.7358 0.5000 x3
V2 0.3333 0.6667 0.2543 x4
Si1 0.0000 0.3893 0.5000 x3
Si2 0.0000 0.5909 0.0000 x3

***

# 18
The following is a GGA-PBEsol calculation of Na2PH after structural relaxation, from Alexandria.

Values from the calculation:
E_tot   -2.619 eV/atom

Cell lengths 6.577, 6.577, 6.577 Å; angles 90.00, 90.00, 90.00 degrees
Space group Fm-3m (No. 225)
Asymmetric unit:
Na1 0.250 0.250 0.250 x8
P1 0.000 0.000 0.000 x4
H1 0.000 0.000 0.500 x4

***

# 19
The following is a GGA-PBEsol calculation of MgAsCl2 after structural relaxation, from Alexandria.

Values from the calculation:
E_tot   -3.153 eV/atom
Formation energy from raw total energies   -0.44 eV/atom
Polymorph energy (0 for the lowest one)   0.235 eV per atom

Cell lengths 7.443, 7.443, 9.138 Å; angles 90.00, 90.00, 90.00 degrees
Space group I-42d (No. 122)
Asymmetric unit:
Mg1 0.000 0.000 0.000 x4
As1 0.000 0.000 0.500 x4
Cl1 0.120 0.250 0.125 x8

***

# 20
The following is a GGA-PBEsol calculation of Zr2MnCu after structural relaxation, from Alexandria.

Values from the calculation:
Formation energy   0.0786 eV per atom
E_tot   -7.990 eV/atom
Polymorph energy (0 for the lowest one)   0.182 eV per atom

Cell lengths 3.151, 4.356, 9.670 Å; angles 90.00, 90.00, 90.00 degrees
Space group Imm2 (No. 44)
Asymmetric unit:
Zr1 0.000 0.000 0.000 x2
Zr2 0.000 0.500 0.221 x2
Mn1 0.000 0.000 0.471 x2
Cu1 0.000 0.500 0.771 x2

***

# 21
The following is a GGA-PBEsol calculation of K2ReIr after structural relaxation, from Alexandria.

Values from the calculation:
Formation energy   0.7442 eV per atom
E_tot   -5.611 eV/atom

Cell lengths 3.295, 3.295, 10.438 Å; angles 90.00, 90.00, 90.00 degrees
Space group P4mm (No. 99)
Asymmetric unit:
K1 0.000 0.000 0.000 x1
K2 0.500 0.500 0.416 x1
Re1 0.000 0.000 0.668 x1
Ir1 0.500 0.500 0.757 x1

***

# 22
The following is a GGA-PBEsol calculation of Nd2AlCo2 after structural relaxation, from Alexandria.

Values from the calculation:
Formation energy   -0.2466 eV per atom
E_tot   -6.226 eV/atom

Cell lengths 4.013, 5.447, 8.694 Å; angles 90.00, 90.00, 90.00 degrees
Space group Immm (No. 71)
Asymmetric unit:
Nd1 0.000 0.000 0.203 x4
Al1 0.000 0.500 0.000 x2
Co1 0.000 0.281 0.500 x4

***

# 23
The following is a GGA-PBEsol calculation of GeTeBr3 after structural relaxation, from Alexandria.

Values from the calculation:
E_tot   -2.774 eV/atom
Formation energy from raw total energies   0.04 eV/atom

Cell lengths 5.327, 5.327, 5.327 Å; angles 90.00, 90.00, 90.00 degrees
Space group Pm-3m (No. 221)
Asymmetric unit:
Ge1 0.000 0.000 0.000 x1
Te1 0.500 0.500 0.500 x1
Br1 0.000 0.000 0.500 x3

***

# 24
The following is a GGA-PBEsol calculation of LiTc3 after structural relaxation, from Alexandria.

Values from the calculation:
Formation energy   0.2529 eV per atom
E_tot   -8.689 eV/atom

Cell lengths 5.963, 5.963, 5.963 Å; angles 90.00, 90.00, 90.00 degrees
Space group Fm-3m (No. 225)
Asymmetric unit:
Li1 0.000 0.000 0.000 x4
Tc1 0.000 0.000 0.500 x4
Tc2 0.250 0.250 0.250 x8

***

# 25
The following is a GGA-PBEsol calculation of DyBr3 after structural relaxation, from Alexandria.

Values from the calculation:
E_tot   -4.445 eV/atom
Formation energy from raw total energies   -1.80 eV/atom

Cell lengths 9.9514, 9.9514, 3.6875 Å; angles 90.00, 90.00, 120.00 degrees
Space group P6_3/mmc (No. 194)
Asymmetric unit:
Dy1 0.3333 0.6667 0.2500 x2
Br1 0.2119 0.4239 0.7500 x6